VASP calculation (PBE) on an optimized crystal structure of LiFe2Cl.

Calculated values
**VASP energy**: -5.109 eV/atom
**Crystal system**: tetragonal
**Energy relative to the elements, uncorrected**: 0.06 eV per atom

Cell lengths 3.351, 3.351, 12.859 Å; angles 90.00, 90.00, 90.00 degrees
Space group I4/mmm (No. 139)
Inequivalent atoms, fractional coordinates:
Li: 0.000 0.000 0.000 x2
Fe: 0.000 0.500 0.250 x4
Cl: 0.000 0.000 0.500 x2